A geometry-optimized TlInGaHg structure. Source: the Alexandria database, functional PBE-GGA.

extended XYZ file:
```
16
Lattice="7.4987 0.0000 0.0000 0.0000 7.4987 0.0000 0.0000 0.0000 7.4987" Properties=species:S:1:pos:R:3 pbc="T T T"
Tl 0.0000 0.0000 0.0000
Tl 0.0000 3.7493 3.7493
Tl 3.7493 0.0000 3.7493
Tl 3.7493 3.7493 0.0000
In 0.0000 0.0000 3.7493
In 0.0000 3.7493 0.0000
In 3.7493 0.0000 0.0000
In 3.7493 3.7493 3.7493
Ga 1.8747 1.8747 5.6240
Ga 1.8747 5.6240 1.8747
Ga 5.6240 1.8747 1.8747
Ga 5.6240 5.6240 5.6240
Hg 1.8747 1.8747 1.8747
Hg 1.8747 5.6240 5.6240
Hg 5.6240 1.8747 5.6240
Hg 5.6240 5.6240 1.8747
```

DFT formation energy, eV/atom: 0.095
Offset from the most stable computed form, meV per atom: 58

---

A geometry-optimized Tl2In3GaHg4 structure. Source: the Alexandria database, functional PBE-GGA.

extended XYZ file:
```
10
Lattice="4.8694 0.0000 0.0000 0.0000 4.8694 0.0000 0.0000 0.0000 12.1880" Properties=species:S:1:pos:R:3 pbc="T T T"
Tl 0.0000 2.4347 3.0336
Tl 2.4347 0.0000 9.1544
In 0.0000 0.0000 0.0000
In 0.0000 2.4347 7.7800
In 2.4347 0.0000 4.4080
Ga 2.4347 2.4347 0.0000
Hg 0.0000 0.0000 6.0940
Hg 0.0000 2.4347 10.6032
Hg 2.4347 0.0000 1.5848
Hg 2.4347 2.4347 6.0940
```

DFT formation energy, eV/atom: 0.056

---

A geometry-optimized TlIn2GaHg6 structure. Source: the Alexandria database, functional PBE-GGA.

extended XYZ file:
```
20
Lattice="6.2597 0.0000 0.0000 0.0000 9.1344 0.0000 -5.6515 0.0000 9.6165" Properties=species:S:1:pos:R:3 pbc="T T T"
Tl 0.0000 0.0000 0.0000
Tl -2.8257 4.5672 4.8083
In -1.7335 0.9729 7.1810
In 1.0922 3.5943 2.3728
In -0.4840 5.5400 7.2437
In 2.3417 8.1615 2.4355
Ga 0.3041 0.0000 4.8083
Ga 3.1299 4.5672 0.0000
Hg -1.1117 1.2669 2.6574
Hg -3.9374 3.3003 7.4657
Hg 0.7153 6.0627 0.2467
Hg -2.1105 7.6388 5.0549
Hg 2.7572 1.5910 0.6093
Hg -0.0686 2.9762 5.4176
Hg 0.6768 6.1582 4.1989
Hg -2.1490 7.5434 9.0072
Hg 2.7187 1.4955 4.5616
Hg -0.1071 3.0716 9.3698
Hg 4.5456 5.8341 2.1508
Hg 1.7199 7.8675 6.9591
```

DFT formation energy, eV/atom: 0.044

---

A geometry-optimized Tl3In3Ga2Hg structure. Source: the Alexandria database, functional PBE-GGA.

extended XYZ file:
```
9
Lattice="9.1468 0.0000 0.0000 -4.5734 7.9214 0.0000 0.0000 0.0000 3.3179" Properties=species:S:1:pos:R:3 pbc="T T T"
Tl -3.1437 5.4450 0.0000
Tl 1.4297 2.4764 0.0000
Tl 6.2874 0.0000 0.0000
In -1.6303 2.8238 1.6590
In 3.2606 0.0000 1.6590
In 2.9431 5.0976 1.6590
Ga 0.0000 5.2809 0.0000
Ga 4.5734 2.6405 0.0000
Hg 0.0000 0.0000 1.6590
```

DFT formation energy, eV/atom: 0.071

---

A geometry-optimized TlIn4GaHg2 structure. Source: the Alexandria database, functional PBE-GGA.

extended XYZ file:
```
16
Lattice="6.3516 -6.0948 0.0000 6.3516 6.0948 0.0000 -3.4530 0.0000 5.6613" Properties=species:S:1:pos:R:3 pbc="T T T"
Tl 3.1758 3.0474 0.0000
Tl 1.4493 -3.0474 2.8306
In 1.3994 0.1008 2.7626
In 4.5984 3.0906 2.8738
In 2.9253 3.0906 5.6181
In -0.3271 -0.1008 5.5932
In 9.5773 0.1008 0.0680
In 6.3249 -3.0906 0.0432
In 4.6518 -3.0906 2.7874
In 7.8508 -0.1008 2.8987
Ga 0.0000 0.0000 0.0000
Ga -1.7265 0.0000 2.8306
Hg 1.4493 3.0474 2.8306
Hg 3.1758 -3.0474 0.0000
Hg 6.3516 0.0000 0.0000
Hg 4.6251 0.0000 2.8306
```

DFT formation energy, eV/atom: 0.060

---

A geometry-optimized Y4In2GaHg structure. Source: the Alexandria database, functional PBE-GGA.

extended XYZ file:
```
8
Lattice="2.6320 1.5196 8.5608 -2.6320 1.5196 8.5608 0.0000 -3.0392 8.5608" Properties=species:S:1:pos:R:3 pbc="T T T"
Y 0.0000 0.0000 3.1381
Y 0.0000 0.0000 9.5731
Y 0.0000 0.0000 16.1094
Y 0.0000 0.0000 22.5444
In 0.0000 0.0000 6.3579
In 0.0000 0.0000 19.3246
Ga 0.0000 0.0000 0.0000
Hg 0.0000 0.0000 12.8413
```

DFT formation energy, eV/atom: -0.514

---

A geometry-optimized ZnInGaHg structure. Source: the Alexandria database, functional PBE-GGA.

extended XYZ file:
```
16
Lattice="7.0846 0.0000 0.0000 0.0000 7.0846 0.0000 0.0000 0.0000 7.0846" Properties=species:S:1:pos:R:3 pbc="T T T"
Zn 0.0000 0.0000 0.0000
Zn 0.0000 3.5423 3.5423
Zn 3.5423 0.0000 3.5423
Zn 3.5423 3.5423 0.0000
In 1.7712 1.7712 5.3135
In 1.7712 5.3135 1.7712
In 5.3135 1.7712 1.7712
In 5.3135 5.3135 5.3135
Ga 0.0000 0.0000 3.5423
Ga 0.0000 3.5423 0.0000
Ga 3.5423 0.0000 0.0000
Ga 3.5423 3.5423 3.5423
Hg 1.7712 1.7712 1.7712
Hg 1.7712 5.3135 5.3135
Hg 5.3135 1.7712 5.3135
Hg 5.3135 5.3135 1.7712
```

DFT formation energy, eV/atom: 0.151

---

A geometry-optimized Ga2HgIr2 structure. Source: the Alexandria database, functional PBE-GGA.

extended XYZ file:
```
10
Lattice="7.4088 0.0000 0.0000 0.0000 7.4088 0.0000 0.0000 0.0000 2.9619" Properties=species:S:1:pos:R:3 pbc="T T T"
Ga 1.0841 2.6203 0.0000
Ga 2.6203 6.3247 0.0000
Ga 4.7885 1.0841 0.0000
Ga 6.3247 4.7885 0.0000
Hg 0.0000 0.0000 1.4810
Hg 3.7044 3.7044 1.4810
Ir 1.1077 4.8121 1.4810
Ir 2.5967 1.1077 1.4810
Ir 4.8121 6.3011 1.4810
Ir 6.3011 2.5967 1.4810
```

DFT formation energy, eV/atom: -0.220
Offset from the most stable computed form, meV per atom: 0

---

A geometry-optimized GaHg3Ir structure. Source: the Alexandria database, functional PBE-GGA.

extended XYZ file:
```
5
Lattice="5.0837 0.0000 0.0000 0.0000 5.0837 0.0000 0.0000 0.0000 5.0837" Properties=species:S:1:pos:R:3 pbc="T T T"
Ga 0.0000 0.0000 0.0000
Hg 0.0000 0.0000 2.5418
Hg 0.0000 2.5418 0.0000
Hg 2.5418 0.0000 0.0000
Ir 2.5418 2.5418 2.5418
```

DFT formation energy, eV/atom: 1.130
Offset from the most stable computed form, meV per atom: 745

---

A geometry-optimized GaHg3Ir structure. Source: the Alexandria database, functional PBE-GGA.

extended XYZ file:
```
5
Lattice="5.2658 0.0000 0.0000 0.0000 5.2658 0.0000 0.0000 0.0000 5.2658" Properties=species:S:1:pos:R:3 pbc="T T T"
Ga 0.0000 0.0000 0.0000
Hg 0.0000 2.6329 2.6329
Hg 2.6329 0.0000 2.6329
Hg 2.6329 2.6329 0.0000
Ir 2.6329 2.6329 2.6329
```

DFT formation energy, eV/atom: 0.384
Offset from the most stable computed form, meV per atom: 0

---

A geometry-optimized Ga2HgIr2 structure. Source: the Alexandria database, functional PBE-GGA.

extended XYZ file:
```
10
Lattice="3.9038 0.0000 0.0000 0.0000 3.9038 0.0000 0.0000 0.0000 11.5908" Properties=species:S:1:pos:R:3 pbc="T T T"
Ga 0.0000 1.9519 2.8977
Ga 0.0000 1.9519 8.6931
Ga 1.9519 0.0000 2.8977
Ga 1.9519 0.0000 8.6931
Hg 0.0000 0.0000 0.0000
Hg 1.9519 1.9519 5.7954
Ir 0.0000 0.0000 4.4920
Ir 0.0000 0.0000 7.0987
Ir 1.9519 1.9519 1.3033
Ir 1.9519 1.9519 10.2874
```

DFT formation energy, eV/atom: -0.080
Offset from the most stable computed form, meV per atom: 140

---

A geometry-optimized Ga2HgIr2 structure. Source: the Alexandria database, functional PBE-GGA.

extended XYZ file:
```
10
Lattice="7.4756 0.0000 0.0000 0.0000 7.4756 0.0000 0.0000 0.0000 2.8868" Properties=species:S:1:pos:R:3 pbc="T T T"
Ga 1.0572 2.6807 0.0000
Ga 2.6807 6.4185 0.0000
Ga 4.7950 1.0572 0.0000
Ga 6.4185 4.7950 0.0000
Hg 0.0000 0.0000 0.0000
Hg 3.7378 3.7378 0.0000
Ir 1.1413 4.8791 1.4434
Ir 2.5965 1.1413 1.4434
Ir 4.8791 6.3343 1.4434
Ir 6.3343 2.5965 1.4434
```

DFT formation energy, eV/atom: -0.121
Offset from the most stable computed form, meV per atom: 99

---

A geometry-optimized Ga3HgIr structure. Source: the Alexandria database, functional PBE-GGA.

extended XYZ file:
```
5
Lattice="4.8691 0.0000 0.0000 0.0000 4.8691 0.0000 0.0000 0.0000 4.8691" Properties=species:S:1:pos:R:3 pbc="T T T"
Ga 0.0000 0.0000 2.4345
Ga 0.0000 2.4345 0.0000
Ga 2.4345 0.0000 0.0000
Hg 2.4345 2.4345 2.4345
Ir 0.0000 0.0000 0.0000
```

DFT formation energy, eV/atom: -0.249
Offset from the most stable computed form, meV per atom: 0

---

A geometry-optimized GaHg2Ir structure. Source: the Alexandria database, functional PBE-GGA.

extended XYZ file:
```
16
Lattice="10.4462 0.0000 0.0000 0.0000 10.4462 0.0000 0.0000 0.0000 4.7838" Properties=species:S:1:pos:R:3 pbc="T T T"
Ga 0.0000 2.6115 1.7939
Ga 0.0000 7.8346 2.9899
Ga 5.2231 2.6115 0.5980
Ga 5.2231 7.8346 4.1858
Hg 0.0000 0.0000 0.0000
Hg 0.0000 5.2231 0.0000
Hg 2.6115 2.6115 3.5879
Hg 2.6115 7.8346 1.1960
Hg 5.2231 0.0000 2.3919
Hg 5.2231 5.2231 2.3919
Hg 7.8346 2.6115 3.5879
Hg 7.8346 7.8346 1.1960
Ir 0.0000 2.6115 4.1858
Ir 0.0000 7.8346 0.5980
Ir 5.2231 2.6115 2.9899
Ir 5.2231 7.8346 1.7939
```

DFT formation energy, eV/atom: 0.146

---

A geometry-optimized Ga2HgIr structure. Source: the Alexandria database, functional PBE-GGA.

extended XYZ file:
```
16
Lattice="5.6600 0.0000 0.0000 0.0000 5.6600 0.0000 0.0000 0.0000 13.2304" Properties=species:S:1:pos:R:3 pbc="T T T"
Ga 0.9669 1.4150 1.6538
Ga 1.4150 3.7969 4.9614
Ga 1.4150 4.6931 11.5766
Ga 1.8631 1.4150 8.2690
Ga 3.7969 4.2450 8.2690
Ga 4.2450 0.9669 11.5766
Ga 4.2450 1.8631 4.9614
Ga 4.6931 4.2450 1.6538
Hg 0.0000 0.0000 6.6152
Hg 0.0000 2.8300 9.9228
Hg 2.8300 0.0000 3.3076
Hg 2.8300 2.8300 0.0000
Ir 0.0000 0.0000 0.0000
Ir 0.0000 2.8300 3.3076
Ir 2.8300 0.0000 9.9228
Ir 2.8300 2.8300 6.6152
```

DFT formation energy, eV/atom: 0.235

---

A geometry-optimized KGaHg2Ir structure. Source: the Alexandria database, functional PBE-GGA.

extended XYZ file:
```
5
Lattice="5.3828 0.0000 0.0000 0.0000 5.3828 0.0000 0.0000 0.0000 4.8013" Properties=species:S:1:pos:R:3 pbc="T T T"
K 0.0000 0.0000 0.0000
Ga 2.6914 2.6914 0.0000
Hg 0.0000 2.6914 2.4007
Hg 2.6914 0.0000 2.4007
Ir 2.6914 2.6914 2.4007
```

DFT formation energy, eV/atom: -0.207

---

A geometry-optimized KGa2HgIr structure. Source: the Alexandria database, functional PBE-GGA.

extended XYZ file:
```
5
Lattice="4.8505 0.0000 0.0000 0.0000 4.8505 0.0000 0.0000 0.0000 5.4110" Properties=species:S:1:pos:R:3 pbc="T T T"
K 0.0000 0.0000 0.0000
Ga 0.0000 2.4252 2.7055
Ga 2.4252 0.0000 2.7055
Hg 2.4252 2.4252 0.0000
Ir 2.4252 2.4252 2.7055
```

DFT formation energy, eV/atom: -0.299

---

A geometry-optimized LaGa2HgIr structure. Source: the Alexandria database, functional PBE-GGA.

extended XYZ file:
```
5
Lattice="4.8805 0.0000 0.0000 0.0000 4.8805 0.0000 0.0000 0.0000 5.4834" Properties=species:S:1:pos:R:3 pbc="T T T"
La 0.0000 0.0000 0.0000
Ga 0.0000 2.4403 2.7417
Ga 2.4403 0.0000 2.7417
Hg 2.4403 2.4403 0.0000
Ir 0.0000 0.0000 2.7417
```

DFT formation energy, eV/atom: -0.477

---

A geometry-optimized Ga2HgMoIr structure. Source: the Alexandria database, functional PBE-GGA.

extended XYZ file:
```
5
Lattice="4.7454 0.0000 0.0000 0.0000 4.7454 0.0000 0.0000 0.0000 5.3020" Properties=species:S:1:pos:R:3 pbc="T T T"
Ga 0.0000 2.3727 0.0000
Ga 2.3727 0.0000 0.0000
Hg 0.0000 0.0000 2.6510
Mo 2.3727 2.3727 2.6510
Ir 0.0000 0.0000 0.0000
```

DFT formation energy, eV/atom: 0.757

---

A geometry-optimized Ga2HgIrPb structure. Source: the Alexandria database, functional PBE-GGA.

extended XYZ file:
```
5
Lattice="4.8266 0.0000 0.0000 0.0000 4.8266 0.0000 0.0000 0.0000 5.5290" Properties=species:S:1:pos:R:3 pbc="T T T"
Ga 0.0000 2.4133 0.0000
Ga 2.4133 0.0000 0.0000
Hg 0.0000 0.0000 2.7645
Ir 2.4133 2.4133 0.0000
Pb 2.4133 2.4133 2.7645
```

DFT formation energy, eV/atom: -0.078
Offset from the most stable computed form, meV per atom: 0

---

| no. | calculated volume (A^3/atom) |
| --- | --- |
| 1 | 26.35 |
| 2 | 28.90 |
| 3 | 27.49 |
| 4 | 26.71 |
| 5 | 27.39 |
| 6 | 25.68 |
| 7 | 22.22 |
| 8 | 16.26 |
| 9 | 26.28 |
| 10 | 29.20 |
| 11 | 17.66 |
| 12 | 16.13 |
| 13 | 23.09 |
| 14 | 32.63 |
| 15 | 26.49 |
| 16 | 27.82 |
| 17 | 25.46 |
| 18 | 26.12 |
| 19 | 23.88 |
| 20 | 25.76 |